## RbLaRe3 (PBE)

Data for a relaxed structure of RbLaRe3.

The calculation puts the excess energy over the best structure of this formula in the dataset at 0.000 eV per atom. For the density, the calculation gives 10.1 g/cm3. The value obtained for the formation energy is 2994 meV/atom. The value obtained for the volume is 129 Å³/cell. The density of states at the Fermi level comes out at 19.60 states/eV per cell.

The structure belongs to space group Pm-3m (No. 221); the cell edges are 5.056, 5.056 and 5.056 Å and the angles 90.00°, 90.00° and 90.00°. The inequivalent atoms are Rb at (0.000, 0.000, 0.000), La at (0.500, 0.500, 0.500) and Re at (0.000, 0.500, 0.500).

***

## Rb2LaReSb (PBE)

Data for a relaxed structure of Rb2LaReSb.

For the density, the calculation gives 4.5 g/cm3. The calculation puts the uncorrected formation energy at 6.079 eV/f.u. The value obtained for the volume is 228 Å³/cell. The density of states at the Fermi level comes out at 6.04 states/eV per cell.

The structure belongs to space group P4/mmm (No. 123); the cell edges are 6.925, 6.925 and 4.754 Å and the angles 90.00°, 90.00° and 90.00°. The inequivalent atoms are Rb at (0.000, 0.500, 0.000), La at (0.000, 0.000, 0.000), Re at (0.000, 0.000, 0.500) and Sb at (0.500, 0.500, 0.500).

***

## Rb2LaRh (PBE)

Data for a relaxed structure of Rb2LaRh.

The calculation puts the excess energy over the best structure of this formula in the dataset at 0.000 eV per atom. For the density, the calculation gives 3.0 g/cm3. The value obtained for the formation energy is 246 meV/atom. The value obtained for the volume is 920 Å³/cell. The density of states at the Fermi level comes out at 16.58 states/eV per cell.

The structure belongs to space group I-42d (No. 122); the cell edges are 13.620, 13.620 and 4.958 Å and the angles 90.00°, 90.00° and 90.00°. The inequivalent atoms are Rb at (0.103, 0.750, 0.125), La at (0.000, 0.000, 0.500) and Rh at (0.000, 0.000, 0.000).